Entry from the Alexandria database: a relaxed structure of Tm4PdPb (PBE).

Structure (CIF):
```
data_Tm4PdPb
_chemical_formula_sum 'Tm16 Pd4 Pb4'
_cell_length_a 8.890
_cell_length_b 13.543
_cell_length_c 5.873
_cell_angle_alpha 90.00
_cell_angle_beta 112.78
_cell_angle_gamma 90.00
_symmetry_space_group_name_H-M 'C 1 2/c 1'
_symmetry_Int_Tables_number 15
loop_
_symmetry_equiv_pos_as_xyz
'x,y,z'
'-x,-y,-z'
'-x,y,-z+1/2'
'x,-y,z+1/2'
'x+1/2,y+1/2,z'
'-x+1/2,-y+1/2,-z'
'-x+1/2,y+1/2,-z+1/2'
'x+1/2,-y+1/2,z+1/2'
loop_
_atom_site_label
_atom_site_fract_x
_atom_site_fract_y
_atom_site_fract_z
Tm1 0.114 0.177 0.070
Tm2 0.215 0.425 0.339
Pd1 0.000 0.001 0.250
Pb1 0.000 0.375 0.750
```

## Properties
Excess energy over the best structure of this formula in the dataset in eV per atom: 0.038


Entry from the Alexandria database: a relaxed structure of Tm7PdPb4 (PBE).

Structure (CIF):
```
data_Tm7PdPb4
_chemical_formula_sum 'Tm14 Pd2 Pb8'
_cell_length_a 15.534
_cell_length_b 5.314
_cell_length_c 11.222
_cell_angle_alpha 90.00
_cell_angle_beta 129.07
_cell_angle_gamma 90.00
_symmetry_space_group_name_H-M 'C 1 2/m 1'
_symmetry_Int_Tables_number 12
loop_
_symmetry_equiv_pos_as_xyz
'x,y,z'
'-x,-y,-z'
'-x,y,-z'
'x,-y,z'
'x+1/2,y+1/2,z'
'-x+1/2,-y+1/2,-z'
'-x+1/2,y+1/2,-z'
'x+1/2,-y+1/2,z'
loop_
_atom_site_label
_atom_site_fract_x
_atom_site_fract_y
_atom_site_fract_z
Tm1 0.000 0.000 0.000
Tm2 0.077 0.500 0.294
Tm3 0.144 0.000 0.567
Tm4 0.214 0.500 0.864
Pd1 0.000 0.500 0.000
Pb1 0.079 0.000 0.780
Pb2 0.223 0.000 0.345
```


Entry from the Alexandria database: a relaxed structure of Tm2Pd3Pb (PBE).

Structure (CIF):
```
data_Tm2Pd3Pb
_chemical_formula_sum 'Tm8 Pd12 Pb4'
_cell_length_a 12.702
_cell_length_b 7.684
_cell_length_c 5.627
_cell_angle_alpha 90.00
_cell_angle_beta 90.00
_cell_angle_gamma 90.00
_symmetry_space_group_name_H-M 'C m c m'
_symmetry_Int_Tables_number 63
_symmetry_space_group_name_Hall '-C 2c 2'
loop_
_atom_site_label
_atom_site_fract_x
_atom_site_fract_y
_atom_site_fract_z
Tm1 0.163 0.176 0.250
Pd1 0.000 0.000 0.000
Pd2 0.172 0.500 0.000
Pb1 0.000 0.324 0.750
```


Entry from the Alexandria database: a relaxed structure of Tm6Pd2Pb (PBE).

Structure (CIF):
```
data_Tm6Pd2Pb
_chemical_formula_sum 'Tm24 Pd8 Pb4'
_cell_length_a 9.371
_cell_length_b 9.687
_cell_length_c 10.372
_cell_angle_alpha 90.00
_cell_angle_beta 90.00
_cell_angle_gamma 90.00
_symmetry_space_group_name_H-M 'I m m m'
_symmetry_Int_Tables_number 71
_symmetry_space_group_name_Hall '-I 2 2'
loop_
_atom_site_label
_atom_site_fract_x
_atom_site_fract_y
_atom_site_fract_z
Tm1 0.000 0.204 0.236
Tm2 0.198 0.500 0.173
Tm3 0.209 0.316 0.500
Pd1 0.000 0.346 0.000
Pd2 0.000 0.500 0.367
Pb1 0.000 0.000 0.000
Pb2 0.000 0.000 0.500
```


Entry from the Alexandria database: a relaxed structure of Tm3PdPb2 (PBE).

Structure (CIF):
```
data_Tm3PdPb2
_chemical_formula_sum 'Tm12 Pd4 Pb8'
_cell_length_a 12.175
_cell_length_b 4.537
_cell_length_c 11.468
_cell_angle_alpha 90.00
_cell_angle_beta 90.00
_cell_angle_gamma 90.00
_symmetry_space_group_name_H-M 'P n m a'
_symmetry_Int_Tables_number 62
loop_
_symmetry_equiv_pos_as_xyz
'x,y,z'
'-x,-y,-z'
'-x+1/2,-y,z+1/2'
'x+1/2,y,-z+1/2'
'x+1/2,-y+1/2,-z+1/2'
'-x+1/2,y+1/2,z+1/2'
'-x,y+1/2,-z'
'x,-y+1/2,z'
loop_
_atom_site_label
_atom_site_fract_x
_atom_site_fract_y
_atom_site_fract_z
Tm1 0.055 0.250 0.131
Tm2 0.127 0.750 0.554
Tm3 0.240 0.250 0.795
Pd1 0.122 0.250 0.375
Pb1 0.007 0.250 0.692
Pb2 0.181 0.750 0.003
```


Entry from the Alexandria database: a relaxed structure of TmPd3Pb (PBE).

Structure (CIF):
```
data_TmPd3Pb
_chemical_formula_sum 'Tm2 Pd6 Pb2'
_cell_length_a 4.658
_cell_length_b 5.740
_cell_length_c 7.573
_cell_angle_alpha 90.00
_cell_angle_beta 90.22
_cell_angle_gamma 90.00
_symmetry_space_group_name_H-M 'P 1 21/m 1'
_symmetry_Int_Tables_number 11
loop_
_symmetry_equiv_pos_as_xyz
'x,y,z'
'-x,-y,-z'
'-x,y+1/2,-z'
'x,-y+1/2,z'
loop_
_atom_site_label
_atom_site_fract_x
_atom_site_fract_y
_atom_site_fract_z
Tm1 0.249 0.250 0.372
Pd1 0.249 0.750 0.411
Pd2 0.252 0.011 0.738
Pb1 0.249 0.750 0.049
```


Entry from the Alexandria database: a relaxed structure of Tm12Pd6Pb (PBE).

Structure (CIF):
```
data_Tm12Pd6Pb
_chemical_formula_sum 'Tm36 Pd18 Pb3'
_cell_length_a 13.9947
_cell_length_b 13.9947
_cell_length_c 8.8743
_cell_angle_alpha 90.00
_cell_angle_beta 90.00
_cell_angle_gamma 120.00
_symmetry_space_group_name_H-M 'R -3'
_symmetry_Int_Tables_number 148
_symmetry_space_group_name_Hall '-R 3'
loop_
_atom_site_label
_atom_site_fract_x
_atom_site_fract_y
_atom_site_fract_z
Tm1 0.0397 0.2555 0.4265
Tm2 0.0589 0.1776 0.8256
Pd1 0.0722 0.5004 0.7812
Pb1 0.0000 0.0000 0.5000
```

## Properties
Excess energy over the best structure of this formula in the dataset in eV per atom: 0.112


Entry from the Alexandria database: a relaxed structure of Tm5Pd2Pb2 (PBE).

Structure (CIF):
```
data_Tm5Pd2Pb2
_chemical_formula_sum 'Tm20 Pd8 Pb8'
_cell_length_a 15.344
_cell_length_b 8.426
_cell_length_c 7.272
_cell_angle_alpha 90.00
_cell_angle_beta 90.00
_cell_angle_gamma 90.00
_symmetry_space_group_name_H-M 'C m c e'
_symmetry_Int_Tables_number 64
_symmetry_space_group_name_Hall '-C 2ac 2'
loop_
_atom_site_label
_atom_site_fract_x
_atom_site_fract_y
_atom_site_fract_z
Tm1 0.000 0.000 0.000
Tm2 0.120 0.179 0.348
Pd1 0.000 0.126 0.636
Pb1 0.214 0.000 0.000
```


Entry from the Alexandria database: a relaxed structure of TmPd6Pb (PBE).

Structure (CIF):
```
data_TmPd6Pb
_chemical_formula_sum 'Tm1 Pd6 Pb1'
_cell_length_a 5.807
_cell_length_b 5.807
_cell_length_c 4.098
_cell_angle_alpha 90.00
_cell_angle_beta 90.00
_cell_angle_gamma 90.00
_symmetry_space_group_name_H-M 'P 4/m m m'
_symmetry_Int_Tables_number 123
_symmetry_space_group_name_Hall '-P 4 2'
loop_
_atom_site_label
_atom_site_fract_x
_atom_site_fract_y
_atom_site_fract_z
Tm1 0.000 0.000 0.000
Pd1 0.000 0.500 0.000
Pd2 0.248 0.248 0.500
Pb1 0.500 0.500 0.000
```

## Properties
Excess energy over the best structure of this formula in the dataset in eV per atom: 0.000


Entry from the Alexandria database: a relaxed structure of Tm3PdPb (PBE).

Structure (CIF):
```
data_Tm3PdPb
_chemical_formula_sum 'Tm24 Pd8 Pb8'
_cell_length_a 12.910
_cell_length_b 10.892
_cell_length_c 7.810
_cell_angle_alpha 90.00
_cell_angle_beta 90.04
_cell_angle_gamma 90.00
_symmetry_space_group_name_H-M 'C 1 2/c 1'
_symmetry_Int_Tables_number 15
loop_
_symmetry_equiv_pos_as_xyz
'x,y,z'
'-x,-y,-z'
'-x,y,-z+1/2'
'x,-y,z+1/2'
'x+1/2,y+1/2,z'
'-x+1/2,-y+1/2,-z'
'-x+1/2,y+1/2,-z+1/2'
'x+1/2,-y+1/2,z+1/2'
loop_
_atom_site_label
_atom_site_fract_x
_atom_site_fract_y
_atom_site_fract_z
Tm1 0.112 0.089 0.089
Tm2 0.112 0.411 0.911
Tm3 0.250 0.177 0.705
Pd1 0.249 0.440 0.622
Pb1 0.000 0.163 0.750
Pb2 0.000 0.336 0.250
```


Entry from the Alexandria database: a relaxed structure of Tm3Pd8Pb2 (PBE).

Structure (CIF):
```
data_Tm3Pd8Pb2
_chemical_formula_sum 'Tm9 Pd24 Pb6'
_cell_length_a 5.4797
_cell_length_b 5.4797
_cell_length_c 30.3860
_cell_angle_alpha 90.00
_cell_angle_beta 90.00
_cell_angle_gamma 120.00
_symmetry_space_group_name_H-M 'R -3 m'
_symmetry_Int_Tables_number 166
_symmetry_space_group_name_Hall '-R 3 2"'
loop_
_atom_site_label
_atom_site_fract_x
_atom_site_fract_y
_atom_site_fract_z
Tm1 0.0000 0.0000 0.0000
Tm2 0.0000 0.0000 0.1906
Pd1 0.0000 0.0000 0.2805
Pd2 0.0047 0.5024 0.7759
Pb1 0.0000 0.0000 0.3689
```


Entry from the Alexandria database: a relaxed structure of Tm4Pd7Pb (PBE).

Structure (CIF):
```
data_Tm4Pd7Pb
_chemical_formula_sum 'Tm8 Pd14 Pb2'
_cell_length_a 10.842
_cell_length_b 5.182
_cell_length_c 10.362
_cell_angle_alpha 90.00
_cell_angle_beta 120.00
_cell_angle_gamma 90.00
_symmetry_space_group_name_H-M 'C 1 2/m 1'
_symmetry_Int_Tables_number 12
loop_
_symmetry_equiv_pos_as_xyz
'x,y,z'
'-x,-y,-z'
'-x,y,-z'
'x,-y,z'
'x+1/2,y+1/2,z'
'-x+1/2,-y+1/2,-z'
'-x+1/2,y+1/2,-z'
'x+1/2,-y+1/2,z'
loop_
_atom_site_label
_atom_site_fract_x
_atom_site_fract_y
_atom_site_fract_z
Tm1 0.091 0.000 0.281
Tm2 0.213 0.500 0.136
Pd1 0.000 0.000 0.500
Pd2 0.073 0.500 0.820
Pd3 0.134 0.000 0.024
Pd4 0.214 0.500 0.407
Pb1 0.000 0.500 0.500
```


no.,energy relative to the elements (eV per formula unit),magnetization (μB/cell)
1,-2.67,0.00
2,-2.88,0.99
3,-4.05,0.00
4,-5.05,0.00
5,-3.49,0.00
6,-3.28,0.00
7,-10.21,0.00
8,-5.75,0.00
9,-4.77,0.00
10,-2.49,0.00
11,-6.50,0.00
12,-8.20,0.00